Below is crystalline LiAc2ThSe5 at its relaxed geometry, with properties calculated at the GGA-PBE level.

Cell: 4.3163 9.2283 12.8874 Å, 90.00 90.00 103.52°
With the nearest neighbours (Å) after each atom.
Sites, in units of the cell vectors:
Li 0.5134 0.0268 0.9744  4 Se 2.49-2.77
Li 0.4866 0.9732 0.4744  4 Se 2.49-2.77
Ac 0.8736 0.7472 0.8019  8 Se 3.12-3.45
Ac 0.1115 0.2230 0.6899  8 Se 3.18-3.29
Ac 0.1264 0.2528 0.3019  8 Se 3.12-3.45
Ac 0.8885 0.7770 0.1899  8 Se 3.18-3.29
Th 0.8041 0.6083 0.5050  6 Se 2.81-2.97
Th 0.1959 0.3917 0.0050  6 Se 2.81-2.97
Se 0.3603 0.7206 0.0014  1 Li 2.77, 1 Th 2.95
Se 0.6904 0.3808 0.8475  2 Th 2.96, 2 Ac 3.28
Se 0.4985 0.9970 0.7808  1 Li 2.51
Se 0.2909 0.5819 0.6628  2 Th 2.97, 3 Ac 3.17-3.24
Se 0.9558 0.9117 0.5601  2 Li 2.49
Se 0.6397 0.2794 0.5014  1 Li 2.77, 1 Th 2.95
Se 0.3096 0.6192 0.3475  2 Th 2.96, 2 Ac 3.28
Se 0.5015 0.0030 0.2808  1 Li 2.51
Se 0.7091 0.4181 0.1628  2 Th 2.97, 3 Ac 3.17-3.24
Se 0.0442 0.0883 0.0601  2 Li 2.49

Calculated values
Raw formation energy   -1791.0 meV per atom
D(E_F)   0.158 states/eV per atom
Uncorrected energy   -5.68 eV/atom
Crystal system   orthorhombic

***

Below is crystalline Zr4TiIn2 at its relaxed geometry, with properties calculated at the GGA-PBE level.

Cell: 5.3388 5.3389 6.9738 Å, 112.45 112.51 90.00°
With the nearest neighbours (Å) after each atom.
Sites, in units of the cell vectors:
Zr 0.7500 0.2498 0.5000  2 Zr 2.93, 4 In 3.01-3.02
Zr 0.2500 0.7502 0.5000  2 Zr 2.93, 4 In 3.01-3.02
Zr 0.5000 0.0000 0.0000  2 Ti 2.67, 2 Zr 2.93
Zr 0.0000 0.5000 0.0000  2 Ti 2.67, 2 Zr 2.93
Ti 0.0000 0.0000 0.0000  4 Zr 2.67
In 0.6304 0.6304 0.2609  8 Zr 3.01-3.08, 1 In 3.06
In 0.3696 0.3696 0.7391  8 Zr 3.01-3.08, 1 In 3.06

Calculated values
Formation energy   30.94 kJ/mol of atoms
D(E_F)   1.226 states/eV per atom
Uncorrected energy   -6.47 eV/atom
Crystal system   monoclinic

***

Below is crystalline In12AgHg3 at its relaxed geometry, with properties calculated at the GGA-PBE level.

Cell: 4.6983 4.6983 18.6724 Å, 90.00 90.00 90.00°
With the nearest neighbours (Å) after each atom.
Sites, in units of the cell vectors:
In 0.5000 0.5000 0.0000  8 In 3.21, 4 Ag 3.32
In 0.5000 0.5000 0.2440  4 Hg 3.32, 8 In 3.34-3.36
In 0.5000 0.5000 0.5000  4 Hg 3.32, 8 In 3.34
In 0.5000 0.5000 0.7560  4 Hg 3.32, 8 In 3.34-3.36
In 0.5000 0.0000 0.1172  8 In 3.21-3.34, 2 Ag 3.21, 2 Hg 3.36
In 0.5000 0.0000 0.3725  8 In 3.32-3.36, 4 Hg 3.33-3.34
In 0.5000 0.0000 0.6275  8 In 3.32-3.36, 4 Hg 3.33-3.34
In 0.5000 0.0000 0.8828  8 In 3.21-3.34, 2 Ag 3.21, 2 Hg 3.36
In 0.0000 0.5000 0.1172  2 Ag 3.21, 8 In 3.21-3.34, 2 Hg 3.36
In 0.0000 0.5000 0.3725  8 In 3.32-3.36, 4 Hg 3.33-3.34
In 0.0000 0.5000 0.6275  8 In 3.32-3.36, 4 Hg 3.33-3.34
In 0.0000 0.5000 0.8828  2 Ag 3.21, 8 In 3.21-3.34, 2 Hg 3.36
Ag 0.0000 0.0000 0.0000  12 In 3.21-3.32
Hg 0.0000 0.0000 0.2461  12 In 3.32-3.36
Hg 0.0000 0.0000 0.5000  12 In 3.32-3.34
Hg 0.0000 0.0000 0.7539  12 In 3.32-3.36

Calculated values
Formation energy   1.48 kJ/mol of atoms
D(E_F)   0.195 states/eV per atom
Uncorrected energy   -2.27 eV/atom
Crystal system   tetragonal

***

Below is crystalline CaHgRu3 at its relaxed geometry, with properties calculated at the GGA-PBE level.

Cell: 4.7573 4.7573 4.7573 Å, 90.00 90.00 90.00°
With the nearest neighbours (Å) after each atom.
Sites, in units of the cell vectors:
Ru 0.0000 0.5000 0.0000  2 Ca 2.38
Ru 0.0000 0.0000 0.5000  2 Ca 2.38
Ru 0.5000 0.0000 0.0000  2 Ca 2.38
Ca 0.0000 0.0000 0.0000  6 Ru 2.38
Hg 0.5000 0.5000 0.5000  12 Ru 3.36

Calculated values
Formation energy   202.50 kJ/mol of atoms
D(E_F)   0.947 states/eV per atom
Uncorrected energy   -3.93 eV/atom
Crystal system   cubic

***

Number 4 is which compound?
CaHgRu3